# Ho2ZnNi12B3

A relaxed Ho2ZnNi12B3 crystal (PBE, the Alexandria database).

Unit cell a=6.7700 b=6.7700 c=6.7700 alpha=62.51 beta=62.51 gamma=62.51
Closest atoms and distances in Å follow each position.
Positions (direct):
Ni1 0.2724 0.8753 0.2724  2 B 1.90
Ni2 0.5653 0.1439 0.1439  1 B 1.94
Ni3 0.8561 0.8561 0.4347  1 B 1.94
Ni4 0.1247 0.7276 0.7276  2 B 1.90
Ni5 0.1439 0.5653 0.1439  1 B 1.94
Ni6 0.2724 0.2724 0.8753  2 B 1.90
Ni7 0.7276 0.1247 0.7276  2 B 1.90
Ni8 0.1439 0.1439 0.5653  1 B 1.94
Ni9 0.4347 0.8561 0.8561  1 B 1.94
Ni10 0.7276 0.7276 0.1247  2 B 1.90
Ni11 0.8561 0.4347 0.8561  1 B 1.94
Ni12 0.8753 0.2724 0.2724  2 B 1.90
B1 0.0000 0.5000 0.0000  6 Ni 1.90-1.94
B2 0.5000 0.0000 0.0000  6 Ni 1.90-1.94
B3 0.0000 0.0000 0.5000  6 Ni 1.90-1.94
Ho1 0.5941 0.5941 0.5941  6 Ni 2.61-2.68
Ho2 0.4059 0.4059 0.4059  6 Ni 2.61-2.68
Zn1 0.0000 0.0000 0.0000  6 Ni 2.48

Values from the calculation:
- D(E_F): 9.62 states/eV per cell
- Volume: 12.9 Å³ per atom
- Energy: -101.1 eV for the cell shown
- Crystal system: trigonal
- Magnetic moment: 0.00 μB per formula unit